No. 1
Material: NaAcCe2Te4
Method: DFT, PBE-GGA
State: optimized geometry

Cell and atoms, written as POSCAR:
```
NaAcCe2Te4
1.0
7.849 0.000 0.000
0.000 4.526 0.000
-0.109 0.000 7.885
Na Ac Ce Te
1 1 2 4
Direct
0.000 0.000 0.000
0.500 0.500 0.500
0.000 0.000 0.500
0.500 0.500 0.000
0.162 0.500 0.750
0.326 0.000 0.238
0.674 0.000 0.762
0.838 0.500 0.250
```

total magnetization	2.677	μB per formula unit
uncorrected formation energy	-1275	meV per atom

---

No. 2
Material: CsCu2Si2
Method: DFT, PBE-GGA
State: optimized geometry

Cell and atoms, written as POSCAR:
```
CsCu2Si2
1.0
8.846 0.000 0.000
0.000 8.846 0.000
0.000 0.000 3.043
Cs Cu Si
2 4 4
Direct
0.000 0.000 0.000
0.500 0.500 0.000
0.106 0.394 0.500
0.394 0.894 0.500
0.606 0.106 0.500
0.894 0.606 0.500
0.115 0.615 0.000
0.385 0.115 0.000
0.615 0.885 0.000
0.885 0.385 0.000
```

relative energy among the computed polymorphs	1.83	eV per formula unit
total magnetization	0.000	μB per formula unit
uncorrected formation energy	499	meV per atom